Below is Ta14Pt after structural relaxation, with properties calculated at the GGA-PBEsol level.

```
data_Ta14Pt
_chemical_formula_sum 'Ta28 Pt2'
_cell_length_a 10.0660
_cell_length_b 10.0660
_cell_length_c 5.2583
_cell_angle_alpha 90.00
_cell_angle_beta 90.00
_cell_angle_gamma 90.00
_symmetry_space_group_name_H-M 'P 42/m n m'
_symmetry_Int_Tables_number 136
_symmetry_space_group_name_Hall '-P 4n 2n'
loop_
_atom_site_label
_atom_site_fract_x
_atom_site_fract_y
_atom_site_fract_z
Ta1 0.0362 0.3695 0.0000
Ta2 0.0666 0.2586 0.5000
Ta3 0.1021 0.1021 0.0000
Ta4 0.1830 0.8170 0.2474
Pt1 0.0000 0.0000 0.5000
```

The crystal system is tetragonal. As for the energy relative to the elements: -0.10 eV per atom.

=====

Below is SrTcAs2 after structural relaxation, with properties calculated at the GGA-PBEsol level.

```
data_SrTcAs2
_chemical_formula_sum 'Sr1 Tc1 As2'
_cell_length_a 3.3484
_cell_length_b 3.3484
_cell_length_c 7.1216
_cell_angle_alpha 90.00
_cell_angle_beta 90.00
_cell_angle_gamma 90.00
_symmetry_space_group_name_H-M 'P 4 m m'
_symmetry_Int_Tables_number 99
loop_
_symmetry_equiv_pos_as_xyz
'x,y,z'
'-y,x,z'
'-x,-y,z'
'y,-x,z'
'-x,y,z'
'y,x,z'
'x,-y,z'
'-y,-x,z'
loop_
_atom_site_label
_atom_site_fract_x
_atom_site_fract_y
_atom_site_fract_z
Sr1 0.0000 0.0000 0.0000
Tc1 0.5000 0.5000 0.3448
As1 0.0000 0.0000 0.4636
As2 0.5000 0.5000 0.7038
```

The crystal system is tetragonal. As for the energy relative to the elements: -0.10 eV per atom.

=====

Below is ZrCu2Ag after structural relaxation, with properties calculated at the GGA-PBEsol level.

```
data_ZrCu2Ag
_chemical_formula_sum 'Zr4 Cu8 Ag4'
_cell_length_a 6.2255
_cell_length_b 6.2255
_cell_length_c 6.2255
_cell_angle_alpha 90.00
_cell_angle_beta 90.00
_cell_angle_gamma 90.00
_symmetry_space_group_name_H-M 'F m -3 m'
_symmetry_Int_Tables_number 225
_symmetry_space_group_name_Hall '-F 4 2 3'
loop_
_atom_site_label
_atom_site_fract_x
_atom_site_fract_y
_atom_site_fract_z
Zr1 0.0000 0.0000 0.0000
Cu1 0.2500 0.2500 0.2500
Ag1 0.0000 0.0000 0.5000
```

The crystal system is cubic. As for the energy relative to the elements: -0.10 eV per atom. As for the relative energy among the computed polymorphs: 0.0 meV per atom.

=====

Below is Ta2Nb3O12 after structural relaxation, with properties calculated at the GGA-PBEsol level.

```
data_Ta2Nb3O12
_chemical_formula_sum 'Ta8 Nb12 O48'
_cell_length_a 13.4930
_cell_length_b 9.6124
_cell_length_c 9.6915
_cell_angle_alpha 90.00
_cell_angle_beta 90.00
_cell_angle_gamma 90.00
_symmetry_space_group_name_H-M 'P b c n'
_symmetry_Int_Tables_number 60
loop_
_symmetry_equiv_pos_as_xyz
'x,y,z'
'-x,-y,-z'
'-x+1/2,-y+1/2,z+1/2'
'x+1/2,y+1/2,-z+1/2'
'x+1/2,-y+1/2,-z'
'-x+1/2,y+1/2,z'
'-x,y,-z+1/2'
'x,-y,z+1/2'
loop_
_atom_site_label
_atom_site_fract_x
_atom_site_fract_y
_atom_site_fract_z
Ta1 0.1181 0.2493 0.0306
Nb1 0.0000 0.0263 0.7500
Nb2 0.1427 0.3895 0.3878
O1 0.0229 0.3121 0.4411
O2 0.0708 0.1393 0.8721
O3 0.0878 0.0877 0.1532
O4 0.1379 0.4186 0.9192
O5 0.1581 0.3528 0.1996
O6 0.2466 0.3122 0.4921
```

Its formation energy without anion corrections is -2.55 eV per atom. The crystal system is orthorhombic.

=====

Below is Al3InRe after structural relaxation, with properties calculated at the GGA-PBEsol level.

```
data_Al3InRe
_chemical_formula_sum 'Al3 In1 Re1'
_cell_length_a 4.8153
_cell_length_b 4.8153
_cell_length_c 4.8153
_cell_angle_alpha 90.00
_cell_angle_beta 90.00
_cell_angle_gamma 90.00
_symmetry_space_group_name_H-M 'P m -3 m'
_symmetry_Int_Tables_number 221
_symmetry_space_group_name_Hall '-P 4 2 3'
loop_
_atom_site_label
_atom_site_fract_x
_atom_site_fract_y
_atom_site_fract_z
Al1 0.0000 0.0000 0.5000
In1 0.5000 0.5000 0.5000
Re1 0.0000 0.0000 0.0000
```

The crystal system is cubic. As for the energy relative to the elements: 0.33 eV per atom. As for the relative energy among the computed polymorphs: 0.0 meV per atom.

=====

Below is TlCd2Au after structural relaxation, with properties calculated at the GGA-PBEsol level.

```
data_TlCd2Au
_chemical_formula_sum 'Tl1 Cd2 Au1'
_cell_length_a 3.0855
_cell_length_b 3.6995
_cell_length_c 7.6116
_cell_angle_alpha 90.00
_cell_angle_beta 90.00
_cell_angle_gamma 90.00
_symmetry_space_group_name_H-M 'P m m m'
_symmetry_Int_Tables_number 47
loop_
_symmetry_equiv_pos_as_xyz
'x,y,z'
'-x,-y,-z'
'-x,-y,z'
'x,y,-z'
'x,-y,-z'
'-x,y,z'
'-x,y,-z'
'x,-y,z'
loop_
_atom_site_label
_atom_site_fract_x
_atom_site_fract_y
_atom_site_fract_z
Tl1 0.0000 0.0000 0.0000
Cd1 0.5000 0.5000 0.2902
Au1 0.0000 0.0000 0.5000
```

The crystal system is orthorhombic. As for the energy relative to the elements: -0.04 eV per atom. As for the relative energy among the computed polymorphs: 2.8 meV per atom.

=====

Below is SrLa2Ir2 after structural relaxation, with properties calculated at the GGA-PBEsol level.

```
data_SrLa2Ir2
_chemical_formula_sum 'Sr2 La4 Ir4'
_cell_length_a 8.0646
_cell_length_b 8.0646
_cell_length_c 3.8631
_cell_angle_alpha 90.00
_cell_angle_beta 90.00
_cell_angle_gamma 90.00
_symmetry_space_group_name_H-M 'P 4/m b m'
_symmetry_Int_Tables_number 127
_symmetry_space_group_name_Hall '-P 4 2ab'
loop_
_atom_site_label
_atom_site_fract_x
_atom_site_fract_y
_atom_site_fract_z
Sr1 0.0000 0.0000 0.0000
La1 0.1524 0.3476 0.5000
Ir1 0.1363 0.6363 0.0000
```

The crystal system is tetragonal. As for the energy relative to the elements: -0.42 eV per atom.

=====

Below is U2Te2PO after structural relaxation, with properties calculated at the GGA-PBEsol level.

```
data_U2Te2PO
_chemical_formula_sum 'U8 Te8 P4 O4'
_cell_length_a 3.9618
_cell_length_b 3.9618
_cell_length_c 31.5133
_cell_angle_alpha 90.00
_cell_angle_beta 90.00
_cell_angle_gamma 90.00
_symmetry_space_group_name_H-M 'I 4/m m m'
_symmetry_Int_Tables_number 139
_symmetry_space_group_name_Hall '-I 4 2'
loop_
_atom_site_label
_atom_site_fract_x
_atom_site_fract_y
_atom_site_fract_z
U1 0.0000 0.0000 0.0583
U2 0.0000 0.0000 0.2877
Te1 0.0000 0.0000 0.1638
Te2 0.0000 0.0000 0.4008
P1 0.0000 0.5000 0.0000
O1 0.0000 0.5000 0.2500
```

Its formation energy without anion corrections is -1.34 eV per atom. The crystal system is tetragonal.

=====

Below is ScTc2Ru after structural relaxation, with properties calculated at the GGA-PBEsol level.

```
data_ScTc2Ru
_chemical_formula_sum 'Sc3 Tc6 Ru3'
_cell_length_a 2.7807
_cell_length_b 2.7807
_cell_length_c 27.0258
_cell_angle_alpha 90.00
_cell_angle_beta 90.00
_cell_angle_gamma 120.00
_symmetry_space_group_name_H-M 'R -3 m'
_symmetry_Int_Tables_number 166
_symmetry_space_group_name_Hall '-R 3 2"'
loop_
_atom_site_label
_atom_site_fract_x
_atom_site_fract_y
_atom_site_fract_z
Sc1 0.0000 0.0000 0.0000
Tc1 0.0000 0.0000 0.2442
Ru1 0.0000 0.0000 0.5000
```

The crystal system is trigonal. As for the energy relative to the elements: 0.21 eV per atom. As for the relative energy among the computed polymorphs: 278.4 meV per atom.

=====

Below is ZrSeO after structural relaxation, with properties calculated at the GGA-PBEsol level.

```
data_ZrSeO
_chemical_formula_sum 'Zr4 Se4 O4'
_cell_length_a 5.7990
_cell_length_b 5.7990
_cell_length_c 5.7990
_cell_angle_alpha 90.00
_cell_angle_beta 90.00
_cell_angle_gamma 90.00
_symmetry_space_group_name_H-M 'P 21 3'
_symmetry_Int_Tables_number 198
_symmetry_space_group_name_Hall 'P 2ac 2ab 3'
loop_
_atom_site_label
_atom_site_fract_x
_atom_site_fract_y
_atom_site_fract_z
Zr1 0.0784 0.0784 0.0784
Se1 0.1562 0.6562 0.8438
O1 0.1510 0.8490 0.3490
```

Its formation energy without anion corrections is -2.41 eV per atom. The crystal system is cubic. As for the relative energy among the computed polymorphs: 26.3 meV per atom.

=====

Below is Cd3Hg2 after structural relaxation, with properties calculated at the GGA-PBEsol level.

```
data_Cd3Hg2
_chemical_formula_sum 'Cd3 Hg2'
_cell_length_a 4.7565
_cell_length_b 4.7565
_cell_length_c 5.9197
_cell_angle_alpha 90.00
_cell_angle_beta 90.00
_cell_angle_gamma 120.00
_symmetry_space_group_name_H-M 'P -3 m 1'
_symmetry_Int_Tables_number 164
_symmetry_space_group_name_Hall '-P 3 2"'
loop_
_atom_site_label
_atom_site_fract_x
_atom_site_fract_y
_atom_site_fract_z
Cd1 0.0000 0.0000 0.0000
Cd2 0.3333 0.6667 0.3387
Hg1 0.3333 0.6667 0.8179
```

The crystal system is trigonal. As for the energy relative to the elements: 0.03 eV per atom. As for the relative energy among the computed polymorphs: 37.8 meV per atom.

=====

Below is Rb2NF after structural relaxation, with properties calculated at the GGA-PBEsol level.

```
data_Rb2NF
_chemical_formula_sum 'Rb8 N4 F4'
_cell_length_a 7.2697
_cell_length_b 7.2697
_cell_length_c 8.3677
_cell_angle_alpha 90.00
_cell_angle_beta 90.00
_cell_angle_gamma 90.00
_symmetry_space_group_name_H-M 'I -4 2 d'
_symmetry_Int_Tables_number 122
_symmetry_space_group_name_Hall 'I -4 2bw'
loop_
_atom_site_label
_atom_site_fract_x
_atom_site_fract_y
_atom_site_fract_z
Rb1 0.2223 0.2500 0.1250
N1 0.0000 0.0000 0.5000
F1 0.0000 0.0000 0.0000
```

Its formation energy without anion corrections is -0.52 eV per atom. The crystal system is tetragonal.

=====

Below is MgAg2Au after structural relaxation, with properties calculated at the GGA-PBEsol level.

```
data_MgAg2Au
_chemical_formula_sum 'Mg2 Ag4 Au2'
_cell_length_a 4.0362
_cell_length_b 4.0362
_cell_length_c 8.2926
_cell_angle_alpha 90.00
_cell_angle_beta 90.00
_cell_angle_gamma 90.00
_symmetry_space_group_name_H-M 'I 4/m m m'
_symmetry_Int_Tables_number 139
_symmetry_space_group_name_Hall '-I 4 2'
loop_
_atom_site_label
_atom_site_fract_x
_atom_site_fract_y
_atom_site_fract_z
Mg1 0.0000 0.0000 0.0000
Ag1 0.0000 0.5000 0.2500
Au1 0.0000 0.0000 0.5000
```

The crystal system is tetragonal. As for the energy relative to the elements: -0.29 eV per atom.

=====

Below is CoNi3Cl after structural relaxation, with properties calculated at the GGA-PBEsol level.

```
data_CoNi3Cl
_chemical_formula_sum 'Co1 Ni3 Cl1'
_cell_length_a 4.2647
_cell_length_b 4.2647
_cell_length_c 4.2647
_cell_angle_alpha 90.00
_cell_angle_beta 90.00
_cell_angle_gamma 90.00
_symmetry_space_group_name_H-M 'P m -3 m'
_symmetry_Int_Tables_number 221
_symmetry_space_group_name_Hall '-P 4 2 3'
loop_
_atom_site_label
_atom_site_fract_x
_atom_site_fract_y
_atom_site_fract_z
Co1 0.0000 0.0000 0.0000
Ni1 0.0000 0.0000 0.5000
Cl1 0.5000 0.5000 0.5000
```

Its formation energy without anion corrections is 1.15 eV per atom. The crystal system is cubic. As for the relative energy among the computed polymorphs: 322.4 meV per atom.

=====

Below is Li3Mg after structural relaxation, with properties calculated at the GGA-PBEsol level.

```
data_Li3Mg
_chemical_formula_sum 'Li6 Mg2'
_cell_length_a 3.7175
_cell_length_b 4.7948
_cell_length_c 9.0656
_cell_angle_alpha 90.00
_cell_angle_beta 90.00
_cell_angle_gamma 90.00
_symmetry_space_group_name_H-M 'C m m m'
_symmetry_Int_Tables_number 65
_symmetry_space_group_name_Hall '-C 2 2'
loop_
_atom_site_label
_atom_site_fract_x
_atom_site_fract_y
_atom_site_fract_z
Li1 0.0000 0.0000 0.0000
Li2 0.0000 0.5000 0.2490
Mg1 0.0000 0.0000 0.5000
```

The crystal system is orthorhombic. As for the energy relative to the elements: -0.01 eV per atom.

=====

Below is Cd2AsIr after structural relaxation, with properties calculated at the GGA-PBEsol level.

```
data_Cd2AsIr
_chemical_formula_sum 'Cd2 As1 Ir1'
_cell_length_a 4.7091
_cell_length_b 4.7091
_cell_length_c 3.2005
_cell_angle_alpha 90.00
_cell_angle_beta 90.00
_cell_angle_gamma 90.00
_symmetry_space_group_name_H-M 'P 4/m m m'
_symmetry_Int_Tables_number 123
_symmetry_space_group_name_Hall '-P 4 2'
loop_
_atom_site_label
_atom_site_fract_x
_atom_site_fract_y
_atom_site_fract_z
Cd1 0.0000 0.5000 0.0000
As1 0.0000 0.0000 0.5000
Ir1 0.5000 0.5000 0.5000
```

The crystal system is tetragonal. As for the energy relative to the elements: 0.33 eV per atom.

=====

Below is Na2LaPb2 after structural relaxation, with properties calculated at the GGA-PBEsol level.

```
data_Na2LaPb2
_chemical_formula_sum 'Na4 La2 Pb4'
_cell_length_a 4.5249
_cell_length_b 4.5249
_cell_length_c 14.6800
_cell_angle_alpha 90.00
_cell_angle_beta 90.00
_cell_angle_gamma 90.00
_symmetry_space_group_name_H-M 'I 4/m m m'
_symmetry_Int_Tables_number 139
_symmetry_space_group_name_Hall '-I 4 2'
loop_
_atom_site_label
_atom_site_fract_x
_atom_site_fract_y
_atom_site_fract_z
Na1 0.0000 0.5000 0.2500
La1 0.0000 0.0000 0.0000
Pb1 0.0000 0.0000 0.4010
```

The crystal system is tetragonal. As for the energy relative to the elements: -0.27 eV per atom.

=====

Below is CaMnFeGe2 after structural relaxation, with properties calculated at the GGA-PBEsol level.

```
data_CaMnFeGe2
_chemical_formula_sum 'Ca2 Mn2 Fe2 Ge4'
_cell_length_a 3.8667
_cell_length_b 3.8667
_cell_length_c 10.7994
_cell_angle_alpha 90.00
_cell_angle_beta 90.00
_cell_angle_gamma 90.00
_symmetry_space_group_name_H-M 'I -4 m 2'
_symmetry_Int_Tables_number 119
_symmetry_space_group_name_Hall 'I -4 -2'
loop_
_atom_site_label
_atom_site_fract_x
_atom_site_fract_y
_atom_site_fract_z
Ca1 0.0000 0.0000 0.0000
Mn1 0.0000 0.5000 0.2500
Fe1 0.0000 0.5000 0.7500
Ge1 0.0000 0.0000 0.3784
```

The crystal system is tetragonal. As for the energy relative to the elements: -0.35 eV per atom.

=====

Below is CdAgHgAu2 after structural relaxation, with properties calculated at the GGA-PBEsol level.

```
data_CdAgHgAu2
_chemical_formula_sum 'Cd1 Ag1 Hg1 Au2'
_cell_length_a 5.1068
_cell_length_b 5.1068
_cell_length_c 5.0916
_cell_angle_alpha 90.00
_cell_angle_beta 90.00
_cell_angle_gamma 90.00
_symmetry_space_group_name_H-M 'P 4/m m m'
_symmetry_Int_Tables_number 123
_symmetry_space_group_name_Hall '-P 4 2'
loop_
_atom_site_label
_atom_site_fract_x
_atom_site_fract_y
_atom_site_fract_z
Cd1 0.0000 0.0000 0.0000
Ag1 0.5000 0.5000 0.0000
Hg1 0.5000 0.5000 0.5000
Au1 0.0000 0.5000 0.5000
```

The crystal system is tetragonal. As for the energy relative to the elements: 0.73 eV per atom.

=====

Below is MoP2AuCl after structural relaxation, with properties calculated at the GGA-PBEsol level.

```
data_MoP2AuCl
_chemical_formula_sum 'Mo1 P2 Au1 Cl1'
_cell_length_a 4.6727
_cell_length_b 4.6727
_cell_length_c 4.5906
_cell_angle_alpha 90.00
_cell_angle_beta 90.00
_cell_angle_gamma 90.00
_symmetry_space_group_name_H-M 'P 4/m m m'
_symmetry_Int_Tables_number 123
_symmetry_space_group_name_Hall '-P 4 2'
loop_
_atom_site_label
_atom_site_fract_x
_atom_site_fract_y
_atom_site_fract_z
Mo1 0.0000 0.0000 0.0000
P1 0.0000 0.5000 0.0000
Au1 0.5000 0.5000 0.5000
Cl1 0.0000 0.0000 0.5000
```

Its formation energy without anion corrections is 0.50 eV per atom. The crystal system is tetragonal.

=====

no.,D(E_F) (states/eV/f.u.)
1,14.07
2,1.77
3,3.08
4,5.45
5,2.02
6,1.27
7,3.00
8,11.54
9,3.71
10,0.00
11,1.50
12,2.95
13,1.17
14,8.30
15,2.06
16,1.73
17,1.99
18,2.68
19,1.96
20,2.34